No. 1
First-principles (PBE) data for SbTe2PbO after structural relaxation, as listed in Alexandria.

Results
Formation energy (no corrections) ... -37 meV per atom
Space-group type ... P4/mmm (123)

Geometry as CIF:
```
data_SbTe2PbO
_cell_length_a 4.9894
_cell_length_b 4.9894
_cell_length_c 4.9275
_cell_angle_alpha 90.00
_cell_angle_beta 90.00
_cell_angle_gamma 90.00
_symmetry_space_group_name_H-M 'P 1'
_symmetry_Int_Tables_number 1
_symmetry_space_group_name_Hall 'P 1'
loop_
_atom_site_label
_atom_site_fract_x
_atom_site_fract_y
_atom_site_fract_z
Sb1 0.0000 0.0000 0.0000
Te1 0.0000 0.5000 0.5000
Te2 0.5000 0.0000 0.5000
Pb1 0.5000 0.5000 0.0000
O1 0.0000 0.0000 0.5000
```

---

No. 2
First-principles (PBE) data for Na2HfMgO4 after structural relaxation, as listed in Alexandria.

Results
Formation energy (no corrections) ... -2619 meV per atom
Space-group type ... P2/m (10)

Geometry as CIF:
```
data_Na2HfMgO4
_cell_length_a 5.4444
_cell_length_b 3.1774
_cell_length_c 5.7780
_cell_angle_alpha 90.00
_cell_angle_beta 108.37
_cell_angle_gamma 90.00
_symmetry_space_group_name_H-M 'P 1'
_symmetry_Int_Tables_number 1
_symmetry_space_group_name_Hall 'P 1'
loop_
_atom_site_label
_atom_site_fract_x
_atom_site_fract_y
_atom_site_fract_z
Na1 0.0000 0.0000 0.0000
Na2 0.5000 0.5000 0.0000
Hf1 0.0000 0.5000 0.5000
Mg1 0.5000 0.0000 0.5000
O1 0.2249 0.0000 0.7061
O2 0.2572 0.5000 0.3000
O3 0.7428 0.5000 0.7000
O4 0.7751 0.0000 0.2939
```

---

No. 3
First-principles (PBE) data for RbLiAgSe after structural relaxation, as listed in Alexandria.

Results
Formation energy (no corrections) ... -680 meV per atom
Space-group type ... P4/nmm (129)

Geometry as CIF:
```
data_RbLiAgSe
_cell_length_a 4.1042
_cell_length_b 4.1042
_cell_length_c 13.2957
_cell_angle_alpha 90.00
_cell_angle_beta 90.00
_cell_angle_gamma 90.00
_symmetry_space_group_name_H-M 'P 1'
_symmetry_Int_Tables_number 1
_symmetry_space_group_name_Hall 'P 1'
loop_
_atom_site_label
_atom_site_fract_x
_atom_site_fract_y
_atom_site_fract_z
Rb1 0.2500 0.2500 0.2467
Rb2 0.7500 0.7500 0.7533
Li1 0.2500 0.7500 0.0000
Li2 0.7500 0.2500 0.0000
Ag1 0.2500 0.7500 0.5000
Ag2 0.7500 0.2500 0.5000
Se1 0.2500 0.2500 0.8843
Se2 0.7500 0.7500 0.1157
```

---

No. 4
First-principles (PBE) data for InSiHg2I after structural relaxation, as listed in Alexandria.

Results
Formation energy (no corrections) ... -2 meV per atom
Space-group type ... P4/mmm (123)

Geometry as CIF:
```
data_InSiHg2I
_cell_length_a 5.2027
_cell_length_b 5.2027
_cell_length_c 5.6754
_cell_angle_alpha 90.00
_cell_angle_beta 90.00
_cell_angle_gamma 90.00
_symmetry_space_group_name_H-M 'P 1'
_symmetry_Int_Tables_number 1
_symmetry_space_group_name_Hall 'P 1'
loop_
_atom_site_label
_atom_site_fract_x
_atom_site_fract_y
_atom_site_fract_z
In1 0.0000 0.0000 0.0000
Si1 0.0000 0.0000 0.5000
Hg1 0.0000 0.5000 0.5000
Hg2 0.5000 0.0000 0.5000
I1 0.5000 0.5000 0.0000
```

---

No. 5
First-principles (PBE) data for Ac4PCI2 after structural relaxation, as listed in Alexandria.

Results
Formation energy (no corrections) ... -937 meV per atom
Space-group type ... P2/m (10)

Geometry as CIF:
```
data_Ac4PCI2
_cell_length_a 7.4867
_cell_length_b 4.2453
_cell_length_c 8.6233
_cell_angle_alpha 90.00
_cell_angle_beta 106.32
_cell_angle_gamma 90.00
_symmetry_space_group_name_H-M 'P 1'
_symmetry_Int_Tables_number 1
_symmetry_space_group_name_Hall 'P 1'
loop_
_atom_site_label
_atom_site_fract_x
_atom_site_fract_y
_atom_site_fract_z
Ac1 0.2068 0.0000 0.1800
Ac2 0.2489 0.5000 0.8127
Ac3 0.7511 0.5000 0.1873
Ac4 0.7932 0.0000 0.8200
P1 0.5000 0.0000 0.0000
C1 0.0000 0.5000 0.0000
I1 0.0000 0.0000 0.5000
I2 0.5000 0.5000 0.5000
```

---

No. 6
First-principles (PBE) data for BaNaCu2 after structural relaxation, as listed in Alexandria.

Results
Calculated formation energy ... 0.285 eV per atom
Space-group type ... I4_1/amd (141)

Geometry as CIF:
```
data_BaNaCu2
_cell_length_a 10.1148
_cell_length_b 10.1148
_cell_length_c 10.1148
_cell_angle_alpha 151.48
_cell_angle_beta 151.48
_cell_angle_gamma 40.78
_symmetry_space_group_name_H-M 'P 1'
_symmetry_Int_Tables_number 1
_symmetry_space_group_name_Hall 'P 1'
loop_
_atom_site_label
_atom_site_fract_x
_atom_site_fract_y
_atom_site_fract_z
Ba1 0.3750 0.6250 0.7500
Ba2 0.6250 0.3750 0.2500
Na1 0.1250 0.8750 0.2500
Na2 0.8750 0.1250 0.7500
Cu1 0.0000 0.0000 0.0000
Cu2 0.0000 0.0000 0.5000
Cu3 0.0000 0.5000 0.0000
Cu4 0.5000 0.0000 0.5000
```

---

No. 7
First-principles (PBE) data for Hf2ZnTeF after structural relaxation, as listed in Alexandria.

Results
Formation energy (no corrections) ... -89 meV per atom
Space-group type ... P4/mmm (123)

Geometry as CIF:
```
data_Hf2ZnTeF
_cell_length_a 5.1211
_cell_length_b 5.1211
_cell_length_c 3.9650
_cell_angle_alpha 90.00
_cell_angle_beta 90.00
_cell_angle_gamma 90.00
_symmetry_space_group_name_H-M 'P 1'
_symmetry_Int_Tables_number 1
_symmetry_space_group_name_Hall 'P 1'
loop_
_atom_site_label
_atom_site_fract_x
_atom_site_fract_y
_atom_site_fract_z
Hf1 0.0000 0.5000 0.0000
Hf2 0.5000 0.0000 0.0000
Zn1 0.0000 0.0000 0.0000
Te1 0.5000 0.5000 0.5000
F1 0.0000 0.0000 0.5000
```

---

No. 8
First-principles (PBE) data for Hg3SbAsS3 after structural relaxation, as listed in Alexandria.

Results
Formation energy (no corrections) ... -128 meV per atom
Space-group type ... P2_1/c (14)

Geometry as CIF:
```
data_Hg3SbAsS3
_cell_length_a 11.9777
_cell_length_b 4.5478
_cell_length_c 19.8129
_cell_angle_alpha 90.00
_cell_angle_beta 125.49
_cell_angle_gamma 90.00
_symmetry_space_group_name_H-M 'P 1'
_symmetry_Int_Tables_number 1
_symmetry_space_group_name_Hall 'P 1'
loop_
_atom_site_label
_atom_site_fract_x
_atom_site_fract_y
_atom_site_fract_z
Hg1 0.0569 0.2309 0.4218
Hg2 0.0569 0.2691 0.9218
Hg3 0.2107 0.7255 0.3123
Hg4 0.2107 0.7745 0.8123
Hg5 0.2984 0.1088 0.6772
Hg6 0.2984 0.3912 0.1772
Hg7 0.7016 0.6088 0.8228
Hg8 0.7016 0.8912 0.3228
Hg9 0.7893 0.2255 0.1877
Hg10 0.7893 0.2745 0.6877
Hg11 0.9431 0.7309 0.0782
Hg12 0.9431 0.7691 0.5782
Sb1 0.4023 0.6859 0.5473
Sb2 0.4023 0.8141 0.0473
Sb3 0.5977 0.1859 0.9527
Sb4 0.5977 0.3141 0.4527
As1 0.1023 0.1363 0.6930
As2 0.1023 0.3637 0.1930
As3 0.8977 0.6363 0.8070
As4 0.8977 0.8637 0.3070
S1 0.1820 0.6027 0.5318
S2 0.1820 0.8973 0.0318
S3 0.3109 0.0601 0.4304
S4 0.3109 0.4399 0.9304
S5 0.4882 0.0352 0.6636
S6 0.4882 0.4648 0.1636
S7 0.5118 0.5352 0.8364
S8 0.5118 0.9648 0.3364
S9 0.6891 0.5601 0.0696
S10 0.6891 0.9399 0.5696
S11 0.8180 0.1027 0.9682
S12 0.8180 0.3973 0.4682
```

---

No. 9
First-principles (PBE) data for Ca4MgCu after structural relaxation, as listed in Alexandria.

Results
Calculated formation energy ... -0.082 eV per atom
Space-group type ... F-43m (216)

Geometry as CIF:
```
data_Ca4MgCu
_cell_length_a 10.2929
_cell_length_b 10.2929
_cell_length_c 10.2929
_cell_angle_alpha 60.00
_cell_angle_beta 60.00
_cell_angle_gamma 60.00
_symmetry_space_group_name_H-M 'P 1'
_symmetry_Int_Tables_number 1
_symmetry_space_group_name_Hall 'P 1'
loop_
_atom_site_label
_atom_site_fract_x
_atom_site_fract_y
_atom_site_fract_z
Ca1 0.0571 0.0571 0.4429
Ca2 0.0571 0.4429 0.0571
Ca3 0.0571 0.4429 0.4429
Ca4 0.1898 0.1898 0.8102
Ca5 0.1898 0.8102 0.1898
Ca6 0.1898 0.8102 0.8102
Ca7 0.2089 0.5970 0.5970
Ca8 0.4429 0.0571 0.0571
Ca9 0.4429 0.0571 0.4429
Ca10 0.4429 0.4429 0.0571
Ca11 0.5970 0.2089 0.5970
Ca12 0.5970 0.5970 0.2089
Ca13 0.5970 0.5970 0.5970
Ca14 0.8102 0.1898 0.1898
Ca15 0.8102 0.1898 0.8102
Ca16 0.8102 0.8102 0.1898
Mg1 0.5163 0.8279 0.8279
Mg2 0.8279 0.5163 0.8279
Mg3 0.8279 0.8279 0.5163
Mg4 0.8279 0.8279 0.8279
Cu1 0.3906 0.3906 0.3906
Cu2 0.3906 0.3906 0.8281
Cu3 0.3906 0.8281 0.3906
Cu4 0.8281 0.3906 0.3906
```

---

No. 10
First-principles (PBE) data for Tb3Er3Tm2 after structural relaxation, as listed in Alexandria.

Results
Calculated formation energy ... 0.022 eV per atom
Space-group type ... Immm (71)

Geometry as CIF:
```
data_Tb3Er3Tm2
_cell_length_a 10.5491
_cell_length_b 10.5491
_cell_length_c 10.5491
_cell_angle_alpha 152.76
_cell_angle_beta 152.75
_cell_angle_gamma 38.91
_symmetry_space_group_name_H-M 'P 1'
_symmetry_Int_Tables_number 1
_symmetry_space_group_name_Hall 'P 1'
loop_
_atom_site_label
_atom_site_fract_x
_atom_site_fract_y
_atom_site_fract_z
Tb1 0.0000 0.0000 0.0000
Tb2 0.3745 0.8745 0.5000
Tb3 0.6255 0.1255 0.5000
Er1 0.1259 0.6259 0.5000
Er2 0.5000 0.5000 0.0000
Er3 0.8741 0.3741 0.5000
Tm1 0.2497 0.2497 0.0000
Tm2 0.7503 0.7503 0.0000
```

---

No. 11
First-principles (PBE) data for In3WS after structural relaxation, as listed in Alexandria.

Results
Formation energy (no corrections) ... 939 meV per atom
Space-group type ... Pm-3m (221)

Geometry as CIF:
```
data_In3WS
_cell_length_a 5.3668
_cell_length_b 5.3668
_cell_length_c 5.3668
_cell_angle_alpha 90.00
_cell_angle_beta 90.00
_cell_angle_gamma 90.00
_symmetry_space_group_name_H-M 'P 1'
_symmetry_Int_Tables_number 1
_symmetry_space_group_name_Hall 'P 1'
loop_
_atom_site_label
_atom_site_fract_x
_atom_site_fract_y
_atom_site_fract_z
In1 0.0000 0.0000 0.5000
In2 0.0000 0.5000 0.0000
In3 0.5000 0.0000 0.0000
W1 0.0000 0.0000 0.0000
S1 0.5000 0.5000 0.5000
```

---

No. 12
First-principles (PBE) data for NdHoMn17 after structural relaxation, as listed in Alexandria.

Results
Calculated formation energy ... 0.028 eV per atom
Space-group type ... R3m (160)

Geometry as CIF:
```
data_NdHoMn17
_cell_length_a 6.3489
_cell_length_b 6.3489
_cell_length_c 6.3489
_cell_angle_alpha 86.34
_cell_angle_beta 86.34
_cell_angle_gamma 86.34
_symmetry_space_group_name_H-M 'P 1'
_symmetry_Int_Tables_number 1
_symmetry_space_group_name_Hall 'P 1'
loop_
_atom_site_label
_atom_site_fract_x
_atom_site_fract_y
_atom_site_fract_z
Nd1 0.0000 0.0000 0.0000
Ho1 0.2898 0.2898 0.2898
Mn1 0.1435 0.6416 0.6416
Mn2 0.2897 0.2897 0.7654
Mn3 0.2897 0.7654 0.2897
Mn4 0.3691 0.6420 0.9168
Mn5 0.3691 0.9168 0.6420
Mn6 0.5201 0.9986 0.9986
Mn7 0.5433 0.5433 0.5433
Mn8 0.6416 0.1435 0.6416
Mn9 0.6420 0.3691 0.9168
Mn10 0.6416 0.6416 0.1435
Mn11 0.6420 0.9168 0.3691
Mn12 0.7422 0.7422 0.7422
Mn13 0.7654 0.2897 0.2897
Mn14 0.9168 0.3691 0.6420
Mn15 0.9168 0.6420 0.3691
Mn16 0.9986 0.5201 0.9986
Mn17 0.9986 0.9986 0.5201
```

---

| no. | ρ (g cm⁻³) | E (eV per atom) |
| --- | --- | --- |
| 1 | 8.12 | -3.851 |
| 2 | 5.47 | -6.872 |
| 3 | 4.14 | -2.985 |
| 4 | 7.25 | -2.065 |
| 5 | 7.61 | -5.208 |
| 6 | 4.05 | -2.574 |
| 7 | 9.09 | -5.327 |
| 8 | 6.76 | -2.886 |
| 9 | 2.14 | -2.365 |
| 10 | 8.90 | -4.543 |
| 11 | 6.02 | -4.120 |
| 12 | 8.11 | -8.668 |